Record 1
Here is crystalline LuPa2Fe at its relaxed geometry from the Alexandria database. Energies are from PBE.

Output
* final energy: -31.849 eV/f.u.
* energy of formation from the pure elements: 32 meV per atom
* energy above the lowest structure with this stoichiometry: 0.00 eV per formula unit

```
data_LuPa2Fe
_space_group_name_H-M_alt 'R -3 m'
_space_group_IT_number 166
_space_group_name_Hall '-R 3 2"'
_cell_length_a 3.5588
_cell_length_b 3.5588
_cell_length_c 25.8722
_cell_angle_alpha 90.00
_cell_angle_beta 90.00
_cell_angle_gamma 120.00
loop_
_atom_site_label
_atom_site_fract_x
_atom_site_fract_y
_atom_site_fract_z
Lu1 0.0000 0.0000 0.0000
Pa1 0.0000 0.0000 0.2281
Fe1 0.0000 0.0000 0.5000
```

***

Record 2
Here is crystalline LuPa2Fe at its relaxed geometry from the Alexandria database. Energies are from PBE.

Output
* final energy: -31.653 eV/f.u.
* energy of formation from the pure elements: 81 meV per atom
* energy above the lowest structure with this stoichiometry: 0.20 eV per formula unit

```
data_LuPa2Fe
_space_group_name_H-M_alt 'P 4/m m m'
_space_group_IT_number 123
_space_group_name_Hall '-P 4 2'
_cell_length_a 3.408
_cell_length_b 3.408
_cell_length_c 7.821
_cell_angle_alpha 90.00
_cell_angle_beta 90.00
_cell_angle_gamma 90.00
loop_
_atom_site_label
_atom_site_fract_x
_atom_site_fract_y
_atom_site_fract_z
Lu1 0.000 0.000 0.000
Pa1 0.500 0.500 0.317
Fe1 0.000 0.000 0.500
```

***

Repeat the second record exactly.
Here is crystalline LuPa2Fe at its relaxed geometry from the Alexandria database. Energies are from PBE.

Output
* final energy: -31.653 eV/f.u.
* energy of formation from the pure elements: 81 meV per atom
* energy above the lowest structure with this stoichiometry: 0.20 eV per formula unit

```
data_LuPa2Fe
_space_group_name_H-M_alt 'P 4/m m m'
_space_group_IT_number 123
_space_group_name_Hall '-P 4 2'
_cell_length_a 3.408
_cell_length_b 3.408
_cell_length_c 7.821
_cell_angle_alpha 90.00
_cell_angle_beta 90.00
_cell_angle_gamma 90.00
loop_
_atom_site_label
_atom_site_fract_x
_atom_site_fract_y
_atom_site_fract_z
Lu1 0.000 0.000 0.000
Pa1 0.500 0.500 0.317
Fe1 0.000 0.000 0.500
```

***

Question: The highest energy above the lowest structure with this stoichiometry belongs to which entry?
Answer: number 2

***

Question: The highest energy of formation from the pure elements belongs to which entry?
Answer: number 2

***

Question: What is the energy above the lowest structure with this stoichiometry in the first record?
Answer: 0.00 eV per formula unit